Density functional theory data (GGA-PBE) for CaNd4Os after structural relaxation.

POSCAR file:
```
CaNd4Os
1.0
-1.825 -5.370 2.783
6.098 -3.655 -3.055
2.430 6.469 6.912
Ca Nd Os
2 8 2
Direct
0.799 0.799 0.598
0.201 0.201 0.402
0.163 0.663 0.326
0.394 0.153 0.787
0.000 0.207 0.000
0.606 0.366 0.213
0.837 0.337 0.674
0.606 0.847 0.213
0.000 0.793 0.000
0.394 0.634 0.787
0.257 0.500 0.000
0.743 0.500 0.000
```

Its symmetry is Immm, No. 71. Its formation energy is 0.02 eV/atom.